(1)
First-principles (PBE) data for an optimized crystal structure of KNi2Ag, as listed in Alexandria via LeMat-Bulk.

abc: 2.885 3.315 7.894
angles: 90.00 90.00 90.00
Element x y z (fractional)
K 0.000 0.000 0.000
Ni 0.000 0.000 0.434
Ni 0.500 0.500 0.312
Ag 0.500 0.500 0.649

Properties
Calculated volume   18.876 Å³/atom
DOS(E_F)   3.80 states/eV/cell
Total magnetic moment   1.1 Bohr magnetons per cell
Distance to the lowest polymorph of the same formula   0 meV per atom
Formation energy   0.410 eV per atom


(2)
First-principles (PBE) data for an optimized crystal structure of Ho4Mg5Ni2, as listed in Alexandria via LeMat-Bulk.

abc: 7.899 3.521 9.586
angles: 90.00 93.89 90.00
Element x y z (fractional)
Ho 0.165 0.000 0.338
Ho 0.204 0.000 0.948
Ho 0.796 0.000 0.052
Ho 0.835 0.000 0.662
Mg 0.179 0.500 0.648
Mg 0.455 0.500 0.173
Mg 0.500 0.500 0.500
Mg 0.545 0.500 0.827
Mg 0.821 0.500 0.352
Ni 0.063 0.500 0.134
Ni 0.937 0.500 0.866

Properties
Calculated volume   24.180 Å³/atom
DOS(E_F)   9.09 states/eV/cell
Total magnetic moment   0.0 Bohr magnetons per cell
Formation energy   -0.201 eV per atom


(3)
First-principles (PBE) data for an optimized crystal structure of PaCd3Pd4, as listed in Alexandria via LeMat-Bulk.

abc: 5.788 5.788 5.788
angles: 109.47 109.47 109.47
Element x y z (fractional)
Pa 0.000 0.000 0.000
Cd 0.000 0.500 0.500
Cd 0.500 0.000 0.500
Cd 0.500 0.500 0.000
Pd 0.000 0.000 0.500
Pd 0.000 0.500 0.000
Pd 0.500 0.000 0.000
Pd 0.500 0.500 0.500

Properties
Calculated volume   18.662 Å³/atom
DOS(E_F)   6.34 states/eV/cell
Total magnetic moment   0.3 Bohr magnetons per cell
Formation energy   -0.371 eV per atom


(4)
First-principles (PBE) data for an optimized crystal structure of ZnTeAs2, as listed in Alexandria via LeMat-Bulk.

abc: 11.204 11.204 11.204
angles: 15.91 15.91 15.91
Element x y z (fractional)
Zn 0.000 0.000 0.000
Te 0.500 0.500 0.500
As 0.272 0.272 0.272
As 0.728 0.728 0.728

Properties
Calculated volume   23.022 Å³/atom
DOS(E_F)   2.36 states/eV/cell
Total magnetic moment   0.0 Bohr magnetons per cell
Energy relative to the elements, uncorrected   0.323 eV per atom
Distance to the lowest polymorph of the same formula   436 meV per atom


(5)
First-principles (PBE) data for an optimized crystal structure of LaNdSm, as listed in Alexandria via LeMat-Bulk.

abc: 3.685 3.685 9.023
angles: 90.00 90.00 120.00
Element x y z (fractional)
La 0.000 0.000 0.000
Nd 0.333 0.667 0.661
Sm 0.667 0.333 0.334

Properties
Calculated volume   35.373 Å³/atom
DOS(E_F)   4.50 states/eV/cell
Total magnetic moment   0.0 Bohr magnetons per cell
Distance to the lowest polymorph of the same formula   0 meV per atom
Formation energy   0.014 eV per atom


(6)
First-principles (PBE) data for an optimized crystal structure of AgBiAs2Br, as listed in Alexandria via LeMat-Bulk.

abc: 5.113 5.113 5.108
angles: 90.00 90.00 90.00
Element x y z (fractional)
Ag 0.000 0.000 0.000
Bi 0.500 0.500 0.500
As 0.000 0.500 0.000
As 0.500 0.000 0.000
Br 0.000 0.000 0.500

Properties
Calculated volume   26.706 Å³/atom
DOS(E_F)   4.39 states/eV/cell
Total magnetic moment   0.0 Bohr magnetons per cell
Energy relative to the elements, uncorrected   0.582 eV per atom
Distance to the lowest polymorph of the same formula   0 meV per atom


(7)
First-principles (PBE) data for an optimized crystal structure of SrPC, as listed in Alexandria via LeMat-Bulk.

abc: 5.850 5.850 6.330
angles: 95.20 95.20 30.29
Element x y z (fractional)
Sr 0.129 0.129 0.190
Sr 0.871 0.871 0.810
P 0.129 0.129 0.684
P 0.871 0.871 0.316
C 0.385 0.385 0.159
C 0.615 0.615 0.841

Properties
Calculated volume   18.127 Å³/atom
DOS(E_F)   1.50 states/eV/cell
Total magnetic moment   0.0 Bohr magnetons per cell
Formation energy   0.017 eV per atom


(8)
First-principles (PBE) data for an optimized crystal structure of CaYCr2, as listed in Alexandria via LeMat-Bulk.

abc: 5.156 5.156 5.156
angles: 120.14 120.14 89.76
Element x y z (fractional)
Ca 0.000 0.000 0.000
Y 0.250 0.750 0.500
Cr 0.500 0.500 0.000
Cr 0.750 0.250 0.500

Properties
Calculated volume   24.176 Å³/atom
DOS(E_F)   5.42 states/eV/cell
Total magnetic moment   8.2 Bohr magnetons per cell
Formation energy   0.780 eV per atom


(9)
First-principles (PBE) data for an optimized crystal structure of Tc2RuRh, as listed in Alexandria via LeMat-Bulk.

abc: 4.686 4.679 3.880
angles: 65.62 65.43 48.95
Element x y z (fractional)
Tc 0.000 0.000 0.000
Tc 0.250 0.250 0.250
Ru 0.500 0.500 0.500
Rh 0.750 0.750 0.750

Properties
Calculated volume   14.280 Å³/atom
DOS(E_F)   4.27 states/eV/cell
Total magnetic moment   0.0 Bohr magnetons per cell
Distance to the lowest polymorph of the same formula   127 meV per atom
Formation energy   -0.005 eV per atom


(10)
First-principles (PBE) data for an optimized crystal structure of Pm2PrTmSe4, as listed in Alexandria via LeMat-Bulk.

abc: 7.202 4.105 7.335
angles: 90.00 108.65 90.00
Element x y z (fractional)
Pm 0.000 0.000 0.000
Pm 0.000 0.500 0.500
Pr 0.500 0.000 0.500
Tm 0.500 0.500 0.000
Se 0.252 0.500 0.240
Se 0.261 0.000 0.764
Se 0.739 0.000 0.236
Se 0.748 0.500 0.760

Properties
Calculated volume   25.683 Å³/atom
DOS(E_F)   4.42 states/eV/cell
Total magnetic moment   0.0 Bohr magnetons per cell
Energy relative to the elements, uncorrected   -1.785 eV per atom


(11)
First-principles (PBE) data for an optimized crystal structure of Ta2MnTe, as listed in Alexandria via LeMat-Bulk.

abc: 7.676 7.676 7.676
angles: 138.51 138.51 60.12
Element x y z (fractional)
Ta 0.038 0.625 0.913
Ta 0.375 0.288 0.413
Ta 0.712 0.125 0.087
Ta 0.875 0.962 0.587
Mn 0.000 0.000 0.000
Mn 0.750 0.250 0.500
Te 0.250 0.750 0.500
Te 0.500 0.500 0.000

Properties
Calculated volume   24.555 Å³/atom
DOS(E_F)   8.46 states/eV/cell
Total magnetic moment   0.0 Bohr magnetons per cell
Energy relative to the elements, uncorrected   1.060 eV per atom


(12)
First-principles (PBE) data for an optimized crystal structure of RbCeMg2I8, as listed in Alexandria via LeMat-Bulk.

abc: 7.584 7.599 10.434
angles: 78.81 77.70 77.71
Element x y z (fractional)
Rb 0.000 0.000 0.000
Ce 0.000 0.000 0.500
Mg 0.448 0.458 0.210
Mg 0.552 0.542 0.790
I 0.214 0.755 0.720
I 0.250 0.291 0.458
I 0.280 0.816 0.269
I 0.307 0.353 0.019
I 0.693 0.647 0.981
I 0.720 0.184 0.731
I 0.750 0.709 0.542
I 0.786 0.245 0.280

Properties
Calculated volume   47.258 Å³/atom
DOS(E_F)   8.08 states/eV/cell
Total magnetic moment   1.0 Bohr magnetons per cell
Energy relative to the elements, uncorrected   -1.150 eV per atom


(13)
First-principles (PBE) data for an optimized crystal structure of ZrCrPd3, as listed in Alexandria via LeMat-Bulk.

abc: 4.883 4.883 4.883
angles: 90.00 90.00 90.00
Element x y z (fractional)
Zr 0.000 0.000 0.000
Cr 0.500 0.500 0.500
Pd 0.000 0.000 0.500
Pd 0.000 0.500 0.000
Pd 0.500 0.000 0.000

Properties
Calculated volume   23.284 Å³/atom
DOS(E_F)   2.72 states/eV/cell
Total magnetic moment   4.3 Bohr magnetons per cell
Distance to the lowest polymorph of the same formula   257 meV per atom
Formation energy   0.800 eV per atom


(14)
First-principles (PBE) data for an optimized crystal structure of AlTeAu3, as listed in Alexandria via LeMat-Bulk.

abc: 4.900 4.900 4.900
angles: 90.00 90.00 90.00
Element x y z (fractional)
Al 0.000 0.000 0.000
Te 0.500 0.500 0.500
Au 0.000 0.000 0.500
Au 0.000 0.500 0.000
Au 0.500 0.000 0.000

Properties
Calculated volume   23.536 Å³/atom
DOS(E_F)   3.85 states/eV/cell
Total magnetic moment   0.0 Bohr magnetons per cell
Energy relative to the elements, uncorrected   0.355 eV per atom
Distance to the lowest polymorph of the same formula   0 meV per atom


(15)
First-principles (PBE) data for an optimized crystal structure of NiAsPbBr2, as listed in Alexandria via LeMat-Bulk.

abc: 5.752 5.752 5.723
angles: 90.00 90.00 90.00
Element x y z (fractional)
Ni 0.000 0.000 0.000
As 0.500 0.500 0.000
Pb 0.500 0.500 0.500
Br 0.000 0.500 0.500
Br 0.500 0.000 0.500

Properties
Calculated volume   37.872 Å³/atom
DOS(E_F)   6.57 states/eV/cell
Total magnetic moment   2.6 Bohr magnetons per cell
Energy relative to the elements, uncorrected   0.798 eV per atom
Distance to the lowest polymorph of the same formula   799 meV per atom


(16)
First-principles (PBE) data for an optimized crystal structure of RbTcSN2, as listed in Alexandria via LeMat-Bulk.

abc: 4.026 4.026 4.922
angles: 90.00 90.00 90.00
Element x y z (fractional)
Rb 0.000 0.000 0.000
Tc 0.500 0.500 0.500
S 0.500 0.500 0.000
N 0.000 0.500 0.500
N 0.500 0.000 0.500

Properties
Calculated volume   15.954 Å³/atom
DOS(E_F)   2.36 states/eV/cell
Total magnetic moment   0.0 Bohr magnetons per cell
Energy relative to the elements, uncorrected   0.379 eV per atom
Distance to the lowest polymorph of the same formula   0 meV per atom


(17)
First-principles (PBE) data for an optimized crystal structure of BaMgBr3, as listed in Alexandria via LeMat-Bulk.

abc: 5.452 5.452 5.452
angles: 90.00 90.00 90.00
Element x y z (fractional)
Ba 0.000 0.000 0.000
Mg 0.500 0.500 0.500
Br 0.000 0.500 0.500
Br 0.500 0.000 0.500
Br 0.500 0.500 0.000

Properties
Calculated volume   32.415 Å³/atom
DOS(E_F)   2.54 states/eV/cell
Total magnetic moment   0.0 Bohr magnetons per cell
Energy relative to the elements, uncorrected   -1.383 eV per atom
Distance to the lowest polymorph of the same formula   0 meV per atom


(18)
First-principles (PBE) data for an optimized crystal structure of Tb3Sm2Er5, as listed in Alexandria via LeMat-Bulk.

abc: 9.522 9.522 9.388
angles: 108.28 108.28 112.35
Element x y z (fractional)
Tb 0.020 0.980 0.750
Tb 0.222 0.469 0.450
Tb 0.469 0.222 0.950
Tb 0.531 0.778 0.050
Tb 0.778 0.531 0.550
Tb 0.980 0.020 0.250
Sm 0.016 0.272 0.047
Sm 0.272 0.016 0.547
Sm 0.728 0.984 0.453
Sm 0.984 0.728 0.953
Er 0.137 0.388 0.771
Er 0.229 0.771 0.750
Er 0.275 0.725 0.250
Er 0.388 0.137 0.271
Er 0.475 0.525 0.250
Er 0.525 0.475 0.750
Er 0.612 0.863 0.729
Er 0.725 0.275 0.750
Er 0.771 0.229 0.250
Er 0.863 0.612 0.229

Properties
Calculated volume   32.519 Å³/atom
DOS(E_F)   37.07 states/eV/cell
Total magnetic moment   0.0 Bohr magnetons per cell
Distance to the lowest polymorph of the same formula   0 meV per atom
Formation energy   0.197 eV per atom


(19)
First-principles (PBE) data for an optimized crystal structure of InOs3Br, as listed in Alexandria via LeMat-Bulk.

abc: 4.591 4.591 4.591
angles: 90.00 90.00 90.00
Element x y z (fractional)
In 0.000 0.000 0.000
Os 0.000 0.500 0.500
Os 0.500 0.000 0.500
Os 0.500 0.500 0.000
Br 0.500 0.500 0.500

Properties
Calculated volume   19.359 Å³/atom
DOS(E_F)   5.94 states/eV/cell
Total magnetic moment   0.0 Bohr magnetons per cell
Energy relative to the elements, uncorrected   2.258 eV per atom
Distance to the lowest polymorph of the same formula   0 meV per atom


(20)
First-principles (PBE) data for an optimized crystal structure of Rb2FeCoI6, as listed in Alexandria via LeMat-Bulk.

abc: 8.005 8.005 8.005
angles: 119.88 119.88 90.21
Element x y z (fractional)
Rb 0.250 0.750 0.500
Rb 0.750 0.250 0.500
Fe 0.000 0.000 0.000
Co 0.500 0.500 0.000
I 0.250 0.250 0.501
I 0.250 0.750 0.000
I 0.251 0.251 0.000
I 0.749 0.749 0.000
I 0.750 0.250 0.000
I 0.750 0.750 0.499

Properties
Calculated volume   36.334 Å³/atom
DOS(E_F)   13.64 states/eV/cell
Total magnetic moment   6.5 Bohr magnetons per cell
Energy relative to the elements, uncorrected   -0.500 eV per atom